## LaPmPu (PBE)

Data for an optimized crystal structure of LaPmPu.

E_form	0.126	eV/atom
energy above the lowest structure with this stoichiometry	0.00	eV per formula unit
ρ	8.93	g/cm3
DFT total energy	-47.26	eV/cell

```
data_LaPmPu
_cell_length_a 3.585
_cell_length_b 3.585
_cell_length_c 15.282
_cell_angle_alpha 90.00
_cell_angle_beta 90.00
_cell_angle_gamma 90.00
_symmetry_space_group_name_H-M 'I 4 m m'
_symmetry_Int_Tables_number 107
_symmetry_space_group_name_Hall 'I 4 -2'
loop_
_atom_site_label
_atom_site_fract_x
_atom_site_fract_y
_atom_site_fract_z
_atom_site_occupancy
La1 0.000 0.000 0.000 1
Pm1 0.000 0.000 0.676 1
Pu1 0.000 0.000 0.337 1
```